Material: In2Sn2Pb
Method: DFT, GGA-PBE
State: relaxed

Properties
**Calculated formation energy**: 0.061 eV/atom
**Total moment**: 0.00 μB per formula unit

```
data_In2Sn2Pb
_cell_length_a 8.9792
_cell_length_b 8.9792
_cell_length_c 3.5598
_cell_angle_alpha 90.00
_cell_angle_beta 90.00
_cell_angle_gamma 90.00
_space_group_name_H-M_alt 'P 4/m b m'
_space_group_IT_number 127
_space_group_name_Hall '-P 4 2ab'
loop_
_atom_site_label
_atom_site_type_symbol
_atom_site_fract_x
_atom_site_fract_y
_atom_site_fract_z
In1 In 0.1535 0.3465 0.0000
Sn1 Sn 0.1437 0.6437 0.5000
Pb1 Pb 0.0000 0.0000 0.5000
```

---

Material: CePuC
Method: DFT, GGA-PBE
State: relaxed

Properties
**Calculated formation energy**: -0.026 eV/atom
**Total moment**: 0.00 μB per formula unit

```
data_CePuC
_cell_length_a 5.9592
_cell_length_b 3.4434
_cell_length_c 12.5704
_cell_angle_alpha 90.00
_cell_angle_beta 103.37
_cell_angle_gamma 90.00
_space_group_name_H-M_alt 'C 1 m 1'
_space_group_IT_number 8
_space_group_name_Hall 'C -2y'
loop_
_atom_site_label
_atom_site_type_symbol
_atom_site_fract_x
_atom_site_fract_y
_atom_site_fract_z
Ce1 Ce 0.0000 0.0000 0.0000
Ce2 Ce 0.1172 0.0000 0.2393
Pu1 Pu 0.0513 0.5000 0.7629
Pu2 Pu 0.3997 0.5000 0.4764
C1 C 0.0113 0.5000 0.3638
C2 C 0.2727 0.0000 0.8755
```